# 1
Density functional theory data (PBE+U) for a geometry-optimized LiV4OF11 structure.

For the size of the total moment, the calculation gives 3.77 μB per cell. The value obtained for the mass density is 3.335 g/cm3. As for the energy above the lowest structure with this stoichiometry: 0.27 eV per formula unit. For the total energy, the calculation gives -208.66 eV for the cell shown. The symmetry is P-1 (2).

abc: 5.200 5.533 17.230
angles: 88.79 98.14 117.70
Atoms (fractional coordinates):
Li 0.556 0.423 0.667
Li 0.444 0.577 0.333
V 0.734 0.158 0.381
V 0.500 0.500 0.500
V 0.266 0.842 0.619
V 0.500 0.000 0.000
V 0.243 0.378 0.124
V 0.005 0.239 0.751
V 0.995 0.761 0.249
V 0.757 0.622 0.876
O 0.561 0.359 0.406
O 0.439 0.641 0.594
F 0.511 0.197 0.569
F 0.489 0.803 0.431
F 0.515 0.307 0.935
F 0.434 0.171 0.090
F 0.450 0.465 0.780
F 0.550 0.535 0.220
F 0.566 0.829 0.910
F 0.573 0.040 0.716
F 0.059 0.276 0.466
F 0.485 0.693 0.065
F 0.993 0.540 0.689
F 0.427 0.960 0.284
F 0.942 0.410 0.841
F 0.931 0.216 0.033
F 0.941 0.724 0.534
F 0.103 0.093 0.665
F 0.069 0.784 0.967
F 0.058 0.590 0.159
F 0.992 0.934 0.815
F 0.007 0.460 0.311
F 0.008 0.066 0.185
F 0.897 0.907 0.335

***

# 2
Density functional theory data (PBE+U) for a geometry-optimized Li5VO3F2 structure.

For the size of the total moment, the calculation gives 2.00 μB per cell. The value obtained for the mass density is 2.638 g/cm3. As for the energy above the lowest structure with this stoichiometry: 0.00 eV per formula unit. For the total energy, the calculation gives -60.48 eV for the cell shown. The symmetry is C2/m (12).

abc: 4.026 5.226 5.978
angles: 109.72 90.00 112.65
Atoms (fractional coordinates):
Li 0.000 0.000 0.500
Li 0.672 0.344 0.880
Li 0.328 0.656 0.120
Li 0.703 0.406 0.307
Li 0.297 0.594 0.693
V 0.000 0.000 0.000
O 0.500 0.000 0.000
O 0.140 0.281 0.820
O 0.860 0.719 0.180
F 0.177 0.354 0.342
F 0.823 0.646 0.658

***

# 3
Density functional theory data (PBE+U) for a geometry-optimized LiV2OF5 structure.

For the size of the total moment, the calculation gives 16.00 μB per cell. The value obtained for the mass density is 3.507 g/cm3. As for the energy above the lowest structure with this stoichiometry: 0.00 eV per formula unit. For the total energy, the calculation gives -222.81 eV for the cell shown. The symmetry is Cc (9).

abc: 4.726 4.726 18.644
angles: 89.46 89.46 89.97
Atoms (fractional coordinates):
Li 0.988 0.995 0.997
Li 0.995 0.988 0.497
Li 0.497 0.491 0.248
Li 0.491 0.497 0.748
V 0.026 0.967 0.167
V 0.996 0.991 0.339
V 0.967 0.026 0.667
V 0.991 0.996 0.839
V 0.498 0.502 0.089
V 0.526 0.516 0.417
V 0.516 0.526 0.917
V 0.502 0.498 0.589
O 0.800 0.798 0.411
O 0.798 0.800 0.911
O 0.687 0.300 0.661
O 0.300 0.687 0.161
F 0.805 0.793 0.083
F 0.793 0.805 0.583
F 0.809 0.805 0.250
F 0.805 0.809 0.750
F 0.690 0.310 0.003
F 0.691 0.307 0.500
F 0.723 0.286 0.165
F 0.688 0.303 0.836
F 0.714 0.305 0.333
F 0.303 0.688 0.336
F 0.305 0.714 0.833
F 0.286 0.723 0.665
F 0.310 0.690 0.503
F 0.307 0.691 0.000
F 0.167 0.210 0.753
F 0.210 0.167 0.253
F 0.213 0.208 0.415
F 0.208 0.213 0.915
F 0.189 0.205 0.585
F 0.205 0.189 0.085

***

# 4
Density functional theory data (PBE+U) for a geometry-optimized Li3V4O3F9 structure.

For the size of the total moment, the calculation gives 8.00 μB per cell. The value obtained for the mass density is 2.835 g/cm3. As for the energy above the lowest structure with this stoichiometry: 2.01 eV per formula unit. For the total energy, the calculation gives -115.46 eV for the cell shown. The symmetry is P1 (1).

abc: 5.496 5.836 9.629
angles: 99.24 85.23 121.53
Atoms (fractional coordinates):
Li 0.806 0.654 0.683
Li 0.212 0.263 0.353
Li 0.723 0.510 0.142
V 0.002 0.098 0.980
V 0.614 0.956 0.231
V 0.468 0.990 0.526
V 0.485 0.074 0.832
O 0.403 0.072 0.343
O 0.536 0.257 0.676
O 0.074 0.881 0.844
F 0.827 0.052 0.420
F 0.950 0.901 0.143
F 0.903 0.316 0.165
F 0.457 0.580 0.267
F 0.440 0.331 0.994
F 0.562 0.824 0.682
F 0.546 0.895 0.003
F 0.083 0.694 0.534
F 0.920 0.306 0.876

***

# 5
Density functional theory data (PBE+U) for a geometry-optimized LiV2OF5 structure.

For the size of the total moment, the calculation gives 12.00 μB per cell. The value obtained for the mass density is 3.350 g/cm3. As for the energy above the lowest structure with this stoichiometry: 0.47 eV per formula unit. For the total energy, the calculation gives -165.69 eV for the cell shown. The symmetry is C2 (5).

abc: 11.572 11.572 5.610
angles: 80.60 80.60 26.19
Atoms (fractional coordinates):
Li 0.775 0.904 0.592
Li 0.892 0.108 0.500
Li 0.096 0.225 0.408
V 0.835 0.995 0.080
V 0.650 0.833 0.252
V 0.501 0.662 0.418
V 0.338 0.499 0.582
V 0.005 0.165 0.920
V 0.167 0.350 0.748
O 0.461 0.865 0.339
O 0.530 0.470 0.500
O 0.135 0.539 0.661
F 0.964 0.495 0.450
F 0.856 0.354 0.225
F 0.847 0.611 0.960
F 0.725 0.481 0.711
F 0.857 0.809 0.194
F 0.804 0.196 0.000
F 0.505 0.036 0.550
F 0.646 0.144 0.775
F 0.389 0.153 0.040
F 0.519 0.275 0.289
F 0.191 0.143 0.806
F 0.278 0.847 0.122
F 0.153 0.722 0.878
F 0.147 0.976 0.616
F 0.024 0.853 0.384

***

# 6
Density functional theory data (PBE+U) for a geometry-optimized LiV6O7F5 structure.

For the size of the total moment, the calculation gives 12.00 μB per cell. The value obtained for the mass density is 4.055 g/cm3. As for the energy above the lowest structure with this stoichiometry: 0.61 eV per formula unit. For the total energy, the calculation gives -134.71 eV for the cell shown. The symmetry is P1 (1).

abc: 5.687 5.666 7.560
angles: 71.45 71.08 72.09
Atoms (fractional coordinates):
Li 0.453 0.950 0.550
V 0.675 0.664 0.848
V 0.375 0.341 0.695
V 0.668 0.650 0.320
V 0.993 0.021 0.488
V 0.318 0.304 0.160
V 0.969 0.023 0.998
O 0.216 0.224 0.970
O 0.570 0.589 0.627
O 0.647 0.028 0.673
O 0.968 0.364 0.335
O 0.354 0.943 0.339
O 0.773 0.765 0.036
O 0.677 0.309 0.999
F 0.047 0.634 0.665
F 0.120 0.105 0.693
F 0.875 0.912 0.299
F 0.437 0.399 0.377
F 0.289 0.701 0.005